Record 1
A geometry-optimized YCo6Sn12 structure, computed with PBE-GGA.

Output
Its energy of formation from the pure elements is 0.0603 eV/atom. The magnetization is 0.1 μB/cell. The value obtained for the total DFT energy (no corrections) is -5.052 eV per atom.

abc: 12.3569 12.3569 8.8313
angles: 90.00 90.00 120.00
Space group R-3m (No. 166, hexagonal axes)
Asymmetric unit:
1 Y 0.0000 0.0000 0.0000 x3
2 Co 0.0539 0.5269 0.2504 x18
3 Sn 0.0000 0.3781 0.5000 x18
4 Sn 0.0855 0.1710 0.3203 x18

=====

Record 2
A geometry-optimized CaMg2Au structure, computed with PBE-GGA.

Output
Its energy of formation from the pure elements is -0.1835 eV/atom. The magnetization is 0.0 μB/cell. The value obtained for the total DFT energy (no corrections) is -2.301 eV per atom.

abc: 4.320 4.320 21.783
angles: 90.00 90.00 90.00
Space group I-42d (No. 122)
Asymmetric unit:
1 Ca 0.000 0.000 0.000 x4
2 Mg 0.222 0.250 0.625 x8
3 Au 0.000 0.000 0.500 x4

=====

Record 3
A geometry-optimized Ti2HgW structure, computed with PBE-GGA.

Output
Its energy of formation from the pure elements is 0.7701 eV/atom. The magnetization is 0.0 μB/cell. The value obtained for the total DFT energy (no corrections) is -6.491 eV per atom.

abc: 3.971 3.971 19.125
angles: 90.00 90.00 90.00
Space group I-42d (No. 122)
Asymmetric unit:
1 Ti 0.234 0.250 0.125 x8
2 Hg 0.000 0.000 0.500 x4
3 W 0.000 0.000 0.000 x4